Ca2HoO: optimized geometry, PBE.

The structure belongs to space group R-3m (No. 166, hexagonal axes); the cell edges are 3.4640, 3.4640 and 28.6950 Å and the angles 90.00°, 90.00° and 120.00°. The inequivalent atoms are Ca at (0.0000, 0.0000, 0.1178), Ho at (0.0000, 0.0000, 0.0000) and O at (0.0000, 0.0000, 0.5000).

As for the volume: 24.85 Å³ per atom. Its raw formation energy is -1.213 eV per atom. The density of states at the Fermi level is 0.8705 states/eV per atom. For the total energy, the calculation gives -18.4 eV per formula unit.